# 1
First-principles (PBE-GGA) data for a geometry-optimized K3Y3HoSe8 structure, as listed in the Alexandria database.

a b c (Å): 8.3010 8.3045 9.2079
angles (deg): 116.84 90.00 119.98
Element x y z (fractional)
K 0.0000 0.0000 0.0000
K 0.0000 0.5000 0.0000
K 0.5000 0.5000 0.0000
Y 0.5000 0.0000 0.5000
Y 0.5000 0.5000 0.5000
Y 0.0000 0.5000 0.5000
Ho 0.0000 0.0000 0.5000
Se 0.2647 0.5295 0.2943
Se 0.7353 0.4705 0.7057
Se 0.7664 0.5327 0.2978
Se 0.2336 0.4673 0.7022
Se 0.7663 0.0314 0.2977
Se 0.2337 0.9686 0.7023
Se 0.2651 0.0314 0.2977
Se 0.7349 0.9686 0.7023

## Properties
- ΔE_f (raw) (kJ/mol of atoms) = -162.7
- magnetization (μB/f.u.) = 0.00
- N(E_F) (states/eV/f.u.) = 8.47

=====

# 2
First-principles (PBE-GGA) data for a geometry-optimized CrSiGe2Au structure, as listed in the Alexandria database.

a b c (Å): 4.5509 5.0110 4.5509
angles (deg): 90.00 90.00 90.00
Element x y z (fractional)
Cr 0.0000 0.0000 0.0000
Ge 0.0000 0.0000 0.5000
Ge 0.5000 0.0000 0.0000
Au 0.0000 0.5000 0.0000
Si 0.5000 0.5000 0.5000

## Properties
- ΔE_f (raw) (kJ/mol of atoms) = 73.6
- magnetization (μB/f.u.) = 0.00
- N(E_F) (states/eV/f.u.) = 3.03

=====

# 3
First-principles (PBE-GGA) data for a geometry-optimized TbY2Ho2 structure, as listed in the Alexandria database.

a b c (Å): 9.3008 9.3008 3.7262
angles (deg): 90.00 90.00 90.00
Element x y z (fractional)
Tb 0.0000 0.0000 0.0000
Tb 0.5000 0.5000 0.0000
Y 0.3283 0.8283 0.5000
Y 0.8283 0.6717 0.5000
Y 0.6717 0.1717 0.5000
Y 0.1717 0.3283 0.5000
Ho 0.1264 0.6264 0.0000
Ho 0.6264 0.8736 0.0000
Ho 0.8736 0.3736 0.0000
Ho 0.3736 0.1264 0.0000

## Properties
- formation enthalpy at 0 K (eV/atom) = 0.0900
- E above lowest polymorph (meV per atom) = 80
- magnetization (μB/f.u.) = 0.00
- N(E_F) (states/eV/f.u.) = 4.54

=====

# 4
First-principles (PBE-GGA) data for a geometry-optimized HgTeBr2 structure, as listed in the Alexandria database.

a b c (Å): 11.8583 11.8583 11.8583
angles (deg): 17.72 17.72 17.72
Element x y z (fractional)
Te 0.0000 0.0000 0.0000
Hg 0.5000 0.5000 0.5000
Br 0.9253 0.9253 0.9253
Br 0.0747 0.0747 0.0747

## Properties
- ΔE_f (raw) (kJ/mol of atoms) = -5.5
- E above lowest polymorph (meV per atom) = 153
- magnetization (μB/f.u.) = 0.00
- N(E_F) (states/eV/f.u.) = 2.31

=====

no.,uncorrected energy (eV per atom)
1,-5.363
2,-4.749
3,-5.253
4,-1.755